Record 1
Density functional theory data (GGA-PBEsol) for a geometry-optimized Tc4HgCl structure.

Properties
For the formation energy (no corrections), the calculation gives 0.961 eV per atom. As for the raw total energy: -6.98 eV/atom.

The structure in POSCAR format:
```
Tc4HgCl
1.0
0.000 3.650 3.650
3.650 0.000 3.650
3.650 3.650 0.000
Tc Hg Cl
4 1 1
Cartesian
0.899 0.899 0.899 Tc
2.751 2.751 0.899 Tc
2.751 0.899 2.751 Tc
0.899 2.751 2.751 Tc
3.650 3.650 3.650 Hg
5.475 5.475 5.475 Cl
```



Record 2
Density functional theory data (GGA-PBEsol) for a geometry-optimized Ta5Mo3 structure.

Properties
As for the energy of formation from the pure elements: -0.114 eV per atom. The value obtained for the energy relative to the lowest polymorph listed for this composition is 0.018 eV/atom. As for the raw total energy: -12.37 eV/atom.

The structure in POSCAR format:
```
Ta5Mo3
1.0
3.195 0.000 0.000
0.000 6.410 0.000
0.000 0.000 6.494
Ta Mo
5 3
Cartesian
0.000 0.000 0.000 Ta
0.000 0.000 3.133 Ta
0.000 3.205 3.100 Ta
1.598 1.632 4.823 Ta
1.598 4.779 4.823 Ta
0.000 3.205 6.454 Mo
1.598 1.623 1.524 Mo
1.598 4.788 1.524 Mo
```



raw total energy of number 1 (Tc4HgCl)?
-6.98 eV/atom



What did the first record say?
Density functional theory data (GGA-PBEsol) for a geometry-optimized Tc4HgCl structure.

Properties
For the formation energy (no corrections), the calculation gives 0.961 eV per atom. As for the raw total energy: -6.98 eV/atom.

The structure in POSCAR format:
```
Tc4HgCl
1.0
0.000 3.650 3.650
3.650 0.000 3.650
3.650 3.650 0.000
Tc Hg Cl
4 1 1
Cartesian
0.899 0.899 0.899 Tc
2.751 2.751 0.899 Tc
2.751 0.899 2.751 Tc
0.899 2.751 2.751 Tc
3.650 3.650 3.650 Hg
5.475 5.475 5.475 Cl
```